# 1
4
Lattice="0.0000 3.0035 3.0035 3.0035 0.0000 3.0035 3.0035 3.0035 0.0000" Properties=species:S:1:pos:R:3 comment="Tc2SeS, PBEsol geometry, DFT meta-GGA SCAN" sg="Fm-3m, No. 225" e_form_raw_ev_per_atom=0.17 total_energy_ev_per_cell=-99.13 vol_a3_per_cell=54.2 pbc="T T T"
Tc 1.5018 1.5018 1.5018
Tc 4.5053 4.5053 4.5053
Se 0.0000 0.0000 0.0000
S 3.0035 3.0035 3.0035

***

# 2
5
Lattice="5.1836 0.0000 0.0000 0.0000 5.1836 0.0000 0.0000 0.0000 5.4385" Properties=species:S:1:pos:R:3 comment="TlTcSe2S, PBEsol geometry, DFT meta-GGA SCAN" sg="P4/mmm, No. 123" e_form_raw_ev_per_atom=1.50 total_energy_ev_per_cell=-149.70 vol_a3_per_cell=146.1 pbc="T T T"
Tl 0.0000 0.0000 0.0000
Tc 0.0000 0.0000 2.7193
Se 0.0000 2.5918 0.0000
Se 2.5918 0.0000 0.0000
S 2.5918 2.5918 2.7193

***

# 3
5
Lattice="4.8087 0.0000 0.0000 0.0000 4.8087 0.0000 0.0000 0.0000 4.8087" Properties=species:S:1:pos:R:3 comment="TeSe3S, PBEsol geometry, DFT meta-GGA SCAN" sg="Pm-3m, No. 221" e_form_raw_ev_per_atom=0.59 total_energy_ev_per_cell=-104.16 vol_a3_per_cell=111.2 pbc="T T T"
Te 0.0000 0.0000 0.0000
Se 0.0000 2.4044 2.4044
Se 2.4044 0.0000 2.4044
Se 2.4044 2.4044 0.0000
S 2.4044 2.4044 2.4044

***

# 4
5
Lattice="4.7194 0.0000 0.0000 0.0000 4.7194 0.0000 0.0000 0.0000 4.7194" Properties=species:S:1:pos:R:3 comment="TeSeS3, PBEsol geometry, DFT meta-GGA SCAN" sg="Pm-3m, No. 221" e_form_raw_ev_per_atom=0.71 total_energy_ev_per_cell=-82.65 vol_a3_per_cell=105.1 pbc="T T T"
Te 0.0000 0.0000 0.0000
Se 2.3597 2.3597 2.3597
S 0.0000 2.3597 2.3597
S 2.3597 0.0000 2.3597
S 2.3597 2.3597 0.0000

***

# 5
4
Lattice="1.9471 1.1241 8.2563 -1.9471 1.1241 8.2563 0.0000 -2.2483 8.2563" Properties=species:S:1:pos:R:3 comment="TeSe2S, PBEsol geometry, DFT meta-GGA SCAN" sg="R-3m, No. 166" e_form_raw_ev_per_atom=0.30 total_energy_ev_per_cell=-85.82 vol_a3_per_cell=108.4 pbc="T T T"
Te 0.0000 0.0000 0.0000
Se 0.0000 0.0000 10.0907
Se 0.0000 0.0000 14.6781
S 0.0000 0.0000 12.3844

***

# 6
12
Lattice="3.2562 0.0000 0.0000 -1.6281 2.8199 0.0000 0.0000 0.0000 26.1623" Properties=species:S:1:pos:R:3 comment="TeW2SeS2, PBEsol geometry, DFT meta-GGA SCAN" sg="P3m1, No. 156" e_form_raw_ev_per_atom=-0.50 total_energy_ev_per_cell=-437.96 vol_a3_per_cell=240.2 pbc="T T T"
Te 0.0000 0.0000 0.0000
Te 0.0000 0.0000 3.8408
W 0.0000 0.0000 8.8170
W 0.0000 0.0000 21.3538
W 1.6281 0.9400 1.9203
W 1.6281 0.9400 15.1627
Se 1.6281 0.9400 7.1330
Se 1.6281 0.9400 10.4993
S 0.0000 0.0000 13.6334
S 0.0000 0.0000 16.6916
S 1.6281 0.9400 19.8248
S 1.6281 0.9400 22.8844

***

# 7
3
Lattice="3.4041 0.0000 0.0000 -1.7020 2.9480 0.0000 0.0000 0.0000 5.8406" Properties=species:S:1:pos:R:3 comment="TiSeS, PBEsol geometry, DFT meta-GGA SCAN" sg="P3m1, No. 156" e_form_raw_ev_per_atom=-1.35 total_energy_ev_per_cell=-49.79 vol_a3_per_cell=58.6 pbc="T T T"
Ti 0.0000 0.0000 0.0000
Se 0.0000 1.9654 1.6222
S 1.7020 0.9827 4.4826

***

# 8
9
Lattice="3.3826 0.0000 0.0000 -1.6913 2.9294 0.0000 0.0000 0.0000 17.3008" Properties=species:S:1:pos:R:3 comment="Ti3Se2S4, PBEsol geometry, DFT meta-GGA SCAN" sg="P3m1, No. 156" e_form_raw_ev_per_atom=-1.39 total_energy_ev_per_cell=-139.23 vol_a3_per_cell=171.4 pbc="T T T"
Ti 0.0000 0.0000 0.0000
Ti 0.0000 0.0000 5.5579
Ti 0.0000 0.0000 11.4149
Se 0.0000 1.9530 7.1906
Se 0.0000 1.9530 13.0452
S 0.0000 1.9530 1.4156
S 1.6913 0.9765 4.1925
S 1.6913 0.9765 10.0443
S 1.6913 0.9765 15.8873

***

# 9
12
Lattice="3.2052 0.0000 0.0000 -1.6026 2.7758 0.0000 0.0000 0.0000 29.7491" Properties=species:S:1:pos:R:3 comment="WSeS, PBEsol geometry, DFT meta-GGA SCAN" sg="P-3m1, No. 164" e_form_raw_ev_per_atom=-0.67 total_energy_ev_per_cell=-405.56 vol_a3_per_cell=264.7 pbc="T T T"
W 0.0000 1.8505 3.1185
W 0.0000 1.8505 20.1836
W 1.6026 0.9253 9.5655
W 1.6026 0.9253 26.6307
Se 0.0000 1.8505 7.8620
Se 0.0000 1.8505 11.2672
Se 1.6026 0.9253 18.4819
Se 1.6026 0.9253 21.8871
S 0.0000 1.8505 25.0828
S 0.0000 1.8505 28.1778
S 1.6026 0.9253 1.5713
S 1.6026 0.9253 4.6664

***

# 10
5
Lattice="4.8165 0.0000 0.0000 0.0000 4.8165 0.0000 0.0000 0.0000 4.8165" Properties=species:S:1:pos:R:3 comment="WSe3S, PBEsol geometry, DFT meta-GGA SCAN" sg="Pm-3m, No. 221" e_form_raw_ev_per_atom=0.65 total_energy_ev_per_cell=-136.30 vol_a3_per_cell=111.7 pbc="T T T"
W 0.0000 0.0000 0.0000
Se 0.0000 0.0000 2.4082
Se 0.0000 2.4082 0.0000
Se 2.4082 0.0000 0.0000
S 2.4082 2.4082 2.4082

***

# 11
12
Lattice="3.1742 0.0000 0.0000 -1.5871 2.7489 0.0000 0.0000 0.0000 25.3965" Properties=species:S:1:pos:R:3 comment="W2SeS3, PBEsol geometry, DFT meta-GGA SCAN" sg="P-6m2, No. 187" e_form_raw_ev_per_atom=-0.75 total_energy_ev_per_cell=-385.66 vol_a3_per_cell=221.6 pbc="T T T"
W 0.0000 0.0000 0.0000
W 0.0000 0.0000 12.6983
W 0.0000 1.8326 6.2527
W 0.0000 1.8326 19.1439
Se 0.0000 1.8326 10.9830
Se 0.0000 1.8326 14.4135
S 0.0000 0.0000 4.7005
S 0.0000 0.0000 7.8113
S 0.0000 0.0000 17.5852
S 0.0000 0.0000 20.6960
S 0.0000 1.8326 1.5615
S 0.0000 1.8326 23.8351

***

# 12
9
Lattice="3.1841 0.0000 0.0000 -1.5920 2.7575 0.0000 0.0000 0.0000 19.9041" Properties=species:S:1:pos:R:3 comment="W3Se2S4, PBEsol geometry, DFT meta-GGA SCAN" sg="P3m1, No. 156" e_form_raw_ev_per_atom=-0.72 total_energy_ev_per_cell=-294.20 vol_a3_per_cell=174.8 pbc="T T T"
W 0.0000 0.0000 0.0000
W 0.0000 0.0000 7.2517
W 1.5920 0.9192 13.6726
Se 1.5920 0.9192 5.5416
Se 1.5920 0.9192 8.9633
S 0.0000 0.0000 12.1173
S 0.0000 0.0000 15.2269
S 1.5920 0.9192 1.5539
S 1.5920 0.9192 18.3493

***

Question: What is the formula in the fifth record?
Answer: TeSe2S